K3TaCu2O6 | PBE-GGA | optimized geometry

Results
The calculation puts the total energy at -72.009 eV/cell. For the energy relative to the elements, uncorrected, the calculation gives -1.577 eV per atom. As for the magnetization: 2.0 μB/cell.

```
data_K3TaCu2O6
_cell_length_a 5.9440
_cell_length_b 5.9440
_cell_length_c 6.8944
_cell_angle_alpha 90.00
_cell_angle_beta 90.00
_cell_angle_gamma 120.00
_space_group_name_H-M_alt 'P -3 m 1'
_space_group_IT_number 164
_space_group_name_Hall '-P 3 2"'
loop_
_atom_site_label
_atom_site_type_symbol
_atom_site_fract_x
_atom_site_fract_y
_atom_site_fract_z
K1 K 0.0000 0.0000 0.0000
K2 K 0.3333 0.6667 0.7288
Ta1 Ta 0.0000 0.0000 0.5000
Cu1 Cu 0.3333 0.6667 0.3049
O1 O 0.1540 0.3080 0.3205
```

=====

NbMo2Se4S2 | PBE-GGA | optimized geometry

Results
The calculation puts the total energy at -61.123 eV/cell. For the energy relative to the elements, uncorrected, the calculation gives -0.800 eV per atom. As for the magnetization: 0.0 μB/cell.

```
data_NbMo2Se4S2
_cell_length_a 3.3377
_cell_length_b 3.3377
_cell_length_c 21.3133
_cell_angle_alpha 90.00
_cell_angle_beta 90.00
_cell_angle_gamma 120.00
_space_group_name_H-M_alt 'P 3 m 1'
_space_group_IT_number 156
loop_
_space_group_symop_operation_xyz
'x,y,z'
'-y,x-y,z'
'-x+y,-x,z'
'-y,-x,z'
'-x+y,y,z'
'x,x-y,z'
loop_
_atom_site_label
_atom_site_type_symbol
_atom_site_fract_x
_atom_site_fract_y
_atom_site_fract_z
Nb1 Nb 0.0000 0.0000 0.0000
Mo1 Mo 0.0000 0.0000 0.6547
Mo2 Mo 0.6667 0.3333 0.3216
Se1 Se 0.0000 0.0000 0.2433
Se2 Se 0.0000 0.0000 0.3999
Se3 Se 0.6667 0.3333 0.5765
Se4 Se 0.6667 0.3333 0.7330
S1 S 0.6667 0.3333 0.0738
S2 S 0.6667 0.3333 0.9262
```

=====

AcReB4 | PBE-GGA | optimized geometry

Results
The calculation puts the total energy at -179.897 eV/cell. The calculation puts the formation energy at -27 kJ/mol of atoms. As for the magnetization: 0.0 μB/cell.

```
data_AcReB4
_cell_length_a 8.1592
_cell_length_b 9.6706
_cell_length_c 3.7337
_cell_angle_alpha 90.00
_cell_angle_beta 90.00
_cell_angle_gamma 90.00
_space_group_name_H-M_alt 'C m m m'
_space_group_IT_number 65
_space_group_name_Hall '-C 2 2'
loop_
_atom_site_label
_atom_site_type_symbol
_atom_site_fract_x
_atom_site_fract_y
_atom_site_fract_z
Ac1 Ac 0.0000 0.1830 0.0000
Re1 Re 0.1577 0.5000 0.0000
B1 B 0.0000 0.4072 0.5000
B2 B 0.1852 0.0000 0.5000
B3 B 0.2071 0.3426 0.5000
```